Entry 1:
Entry from Alexandria via LeMat-Bulk: LaCr2Br after structural relaxation (PBE).

Output
Symmetry: Pmmm, No. 47
E in eV per atom: -5.885
Polymorph energy (0 for the lowest one) in meV per atom: 563
DOS at the Fermi energy in states/eV/cell: 3.86
Spin magnetization in μB/f.u.: 0.00
Raw formation energy in eV per atom: 0.58

```
LaCr2Br
1.0
3.537 0.000 0.000
0.000 4.938 0.000
0.000 0.000 5.997
La Cr Br
1 2 1
Cartesian
0.000 0.000 0.000
1.768 2.469 0.910
1.768 2.469 5.087
0.000 0.000 2.999
```

=====

Entry 2:
Entry from Alexandria via LeMat-Bulk: NaSr2MgTl6 after structural relaxation (PBE).

Output
Symmetry: Fm-3m, No. 225
E in eV per atom: -2.029
DOS at the Fermi energy in states/eV/cell: 8.73
ΔH_f (0 K) in meV per atom: 18.5
Spin magnetization in μB/f.u.: 0.00

```
NaSr2MgTl6
1.0
0.000 5.585 5.585
5.585 0.000 5.585
5.585 5.585 0.000
Na Sr Mg Tl
1 2 1 6
Cartesian
0.000 0.000 0.000
2.793 2.793 2.793
8.378 8.378 8.378
5.585 5.585 5.585
5.585 5.585 2.818
5.585 2.818 5.585
8.352 5.585 5.585
2.818 5.585 5.585
5.585 8.352 5.585
5.585 5.585 8.352
```

=====

Entry 3:
Entry from Alexandria via LeMat-Bulk: LiPd5Pt after structural relaxation (PBE).

Output
Symmetry: C2/c, No. 15
E in eV per atom: -4.839
Polymorph energy (0 for the lowest one) in meV per atom: 21
DOS at the Fermi energy in states/eV/cell: 23.55
ΔH_f (0 K) in meV per atom: 6.9
Spin magnetization in μB/f.u.: 0.00

```
LiPd5Pt
1.0
3.753 -5.005 0.000
3.753 5.005 0.000
-0.699 0.000 5.993
Li Pd Pt
2 10 2
Cartesian
1.877 2.502 0.000
1.527 -2.502 2.997
2.464 3.197 2.283
3.229 4.536 4.495
2.400 0.463 2.175
4.693 3.197 0.713
2.050 -0.463 5.172
4.757 0.463 0.821
2.115 -3.197 5.280
4.408 -0.463 3.818
3.579 -4.536 1.498
4.344 -3.197 3.710
3.229 1.840 4.495
3.579 -1.840 1.498
```

=====

Entry 4:
Entry from Alexandria via LeMat-Bulk: Pm2NdSm6 after structural relaxation (PBE).

Output
Symmetry: C2/m, No. 12
E in eV per atom: -4.676
Polymorph energy (0 for the lowest one) in meV per atom: 0
DOS at the Fermi energy in states/eV/cell: 12.73
ΔH_f (0 K) in meV per atom: 55.5
Spin magnetization in μB/f.u.: 0.00

```
Pm2NdSm6
1.0
8.656 -4.978 0.000
8.656 4.978 0.000
-0.005 0.000 3.538
Pm Nd Sm
2 1 6
Cartesian
2.880 0.000 3.538
14.427 0.000 0.000
8.656 0.000 0.000
5.765 1.664 1.771
8.654 3.319 1.769
5.765 -1.664 1.771
11.543 1.664 1.767
8.654 -3.319 1.769
11.543 -1.664 1.767
```